Compound: LiTb2Ho3Se6
Source: Alexandria via LeMat-Bulk
Functional: PBE
Structure: relaxed

Structure (POSCAR):
```
LiTb2Ho3Se6
1.0
3.503 -6.082 0.000
3.503 6.082 0.000
-2.356 0.000 6.613
Li Tb Ho Se
1 2 3 6
Direct
0.000 0.000 0.000 Li
0.335 0.665 0.000 Tb
0.665 0.335 0.000 Tb
0.168 0.832 0.500 Ho
0.500 0.500 0.500 Ho
0.832 0.168 0.500 Ho
0.082 0.405 0.248 Se
0.239 0.239 0.754 Se
0.405 0.082 0.248 Se
0.595 0.918 0.752 Se
0.761 0.761 0.246 Se
0.918 0.595 0.752 Se
```

Calculated values
Its crystal system is monoclinic. The total energy comes out at -5.563 eV per atom. For the volume, the calculation gives 281.76 Å³/cell.

=====

Compound: LiTbHo2Se4
Source: Alexandria via LeMat-Bulk
Functional: PBE
Structure: relaxed

Structure (POSCAR):
```
LiTbHo2Se4
1.0
7.009 0.000 0.000
0.000 4.033 0.000
-2.314 0.000 6.621
Li Tb Ho Se
1 1 2 4
Direct
0.000 0.000 0.000 Li
0.000 0.500 0.500 Tb
0.500 0.000 0.500 Ho
0.500 0.500 0.000 Ho
0.246 0.500 0.243 Se
0.248 0.000 0.757 Se
0.752 0.000 0.243 Se
0.754 0.500 0.757 Se
```

Calculated values
Its crystal system is monoclinic. The total energy comes out at -5.443 eV per atom. For the volume, the calculation gives 187.18 Å³/cell.

=====

Compound: LiTbHoSe3
Source: Alexandria via LeMat-Bulk
Functional: PBE
Structure: relaxed

Structure (POSCAR):
```
LiTbHoSe3
1.0
8.336 0.000 0.000
0.000 3.948 0.000
-1.940 0.000 8.520
Li Tb Ho Se
2 2 2 6
Direct
0.086 0.250 0.084 Li
0.914 0.750 0.916 Li
0.187 0.250 0.724 Tb
0.813 0.750 0.276 Tb
0.336 0.750 0.335 Ho
0.664 0.250 0.665 Ho
0.092 0.250 0.372 Se
0.225 0.750 0.994 Se
0.424 0.750 0.673 Se
0.576 0.250 0.327 Se
0.775 0.250 0.006 Se
0.908 0.750 0.628 Se
```

Calculated values
Its crystal system is monoclinic. The total energy comes out at -5.229 eV per atom. For the volume, the calculation gives 280.37 Å³/cell.

=====

Compound: Li2Tb3HoSe6
Source: Alexandria via LeMat-Bulk
Functional: PBE
Structure: relaxed

Structure (POSCAR):
```
Li2Tb3HoSe6
1.0
3.501 -6.062 0.000
3.501 6.062 0.000
-2.334 0.000 6.610
Li Tb Ho Se
2 3 1 6
Direct
0.168 0.832 0.000 Li
0.832 0.168 0.000 Li
0.000 0.000 0.500 Tb
0.334 0.666 0.500 Tb
0.666 0.334 0.500 Tb
0.500 0.500 0.000 Ho
0.082 0.420 0.760 Se
0.242 0.242 0.241 Se
0.420 0.082 0.760 Se
0.580 0.918 0.240 Se
0.758 0.758 0.759 Se
0.918 0.580 0.240 Se
```

Calculated values
Its crystal system is monoclinic. The total energy comes out at -5.335 eV per atom. For the volume, the calculation gives 280.60 Å³/cell.